PBE+U LaFeS2O8, relaxed; uncorrected energy = -6.543 eV per atom; symmetry = P-3m1, No. 164; total magnetic moment = 3.83 μB per formula unit
1.0
5.2328 0.0000 0.0000
-2.6164 4.5318 0.0000
0.0000 0.0000 7.2036
La Fe S O
1 1 2 8
Direct
0.0000 0.0000 0.0000
0.0000 0.0000 0.5000
0.3333 0.6667 0.2251
0.6667 0.3333 0.7749
0.1771 0.3542 0.2893
0.1771 0.8229 0.2893
0.3333 0.6667 0.0167
0.3542 0.1771 0.7107
0.6458 0.8229 0.2893
0.6667 0.3333 0.9833
0.8229 0.1771 0.7107
0.8229 0.6458 0.7107